Entry 1:
First-principles (GGA-PBE) data for crystalline LiCu2AgF8 at its relaxed geometry, as listed in Alexandria.

Lattice parameters (Å, degrees): 5.3414 5.3414 6.6433 113.70 113.70 90.00
Element x y z (fractional)
Li 0.0000 0.0000 0.0000
Cu 0.5000 0.5000 0.0000
Cu 0.2500 0.7500 0.5000
Ag 0.7500 0.2500 0.5000
F 0.6824 0.7919 0.0077
F 0.3253 0.2158 0.0077
F 0.5647 0.6094 0.5102
F 0.9456 0.9008 0.5102
F 0.0992 0.4353 0.4898
F 0.3906 0.0544 0.4898
F 0.2081 0.6747 0.9923
F 0.7842 0.3176 0.9923

## Properties
Crystal system: tetragonal
Magnetic moment, Bohr magnetons per cell: 0.35
E, eV/cell: -46.632



Entry 2:
First-principles (GGA-PBE) data for crystalline LaTcTe2 at its relaxed geometry, as listed in Alexandria.

Lattice parameters (Å, degrees): 3.5115 3.5115 7.6610 90.00 90.00 90.00
Element x y z (fractional)
La 0.5000 0.5000 0.2500
Tc 0.5000 0.5000 0.7500
Te 0.0000 0.0000 0.9588
Te 0.0000 0.0000 0.5412

## Properties
Crystal system: tetragonal
Magnetic moment, Bohr magnetons per cell: 0.00
E, eV/cell: -22.362



Entry 3:
First-principles (GGA-PBE) data for crystalline Cs2RbScI6 at its relaxed geometry, as listed in Alexandria.

Lattice parameters (Å, degrees): 9.0245 9.0245 9.0245 60.00 60.00 60.00
Element x y z (fractional)
Cs 0.7500 0.7500 0.7500
Cs 0.2500 0.2500 0.2500
Rb 0.5000 0.5000 0.5000
Sc 0.0000 0.0000 0.0000
I 0.7732 0.2268 0.2268
I 0.2268 0.2268 0.7732
I 0.2268 0.7732 0.7732
I 0.2268 0.7732 0.2268
I 0.7732 0.2268 0.7732
I 0.7732 0.7732 0.2268

## Properties
Crystal system: cubic
Magnetic moment, Bohr magnetons per cell: 0.00
E, eV/cell: -32.329



Entry 4:
First-principles (GGA-PBE) data for crystalline Na2TlGa at its relaxed geometry, as listed in Alexandria.

Lattice parameters (Å, degrees): 3.3601 3.3601 9.1649 90.00 90.00 90.00
Element x y z (fractional)
Na 0.0000 0.0000 0.7705
Na 0.0000 0.0000 0.2295
Tl 0.5000 0.5000 0.5000
Ga 0.5000 0.5000 0.0000

## Properties
Crystal system: tetragonal
Magnetic moment, Bohr magnetons per cell: 0.00
DFT formation energy, eV/f.u.: -0.07



Entry 5:
First-principles (GGA-PBE) data for crystalline AcTmNiAu at its relaxed geometry, as listed in Alexandria.

Lattice parameters (Å, degrees): 5.1690 5.1690 5.1690 60.00 60.00 60.00
Element x y z (fractional)
Ni 0.2500 0.2500 0.2500
Ac 0.0000 0.0000 0.0000
Tm 0.5000 0.5000 0.5000
Au 0.7500 0.7500 0.7500

## Properties
Crystal system: cubic
Magnetic moment, Bohr magnetons per cell: 0.00
DFT formation energy, eV/f.u.: -1.77



Entry 6:
First-principles (GGA-PBE) data for crystalline BiB2C at its relaxed geometry, as listed in Alexandria.

Lattice parameters (Å, degrees): 4.2195 4.2195 4.2195 60.00 60.00 60.00
Element x y z (fractional)
C 0.0000 0.0000 0.0000
B 0.2500 0.2500 0.2500
B 0.7500 0.7500 0.7500
Bi 0.5000 0.5000 0.5000

## Properties
Crystal system: cubic
Magnetic moment, Bohr magnetons per cell: 0.00
DFT formation energy, eV/f.u.: 11.05



Entry 7:
First-principles (GGA-PBE) data for crystalline Sc2In2Ir at its relaxed geometry, as listed in Alexandria.

Lattice parameters (Å, degrees): 3.1431 3.1431 10.9622 98.24 98.24 90.00
Element x y z (fractional)
Sc 0.5783 0.5783 0.1566
Sc 0.4217 0.4217 0.8434
In 0.8108 0.8108 0.6215
In 0.1892 0.1892 0.3785
Ir 0.0000 0.0000 0.0000

## Properties
Crystal system: tetragonal
Magnetic moment, Bohr magnetons per cell: 0.00
DFT formation energy, eV/f.u.: -2.66



Entry 8:
First-principles (GGA-PBE) data for crystalline VFe2BrN at its relaxed geometry, as listed in Alexandria.

Lattice parameters (Å, degrees): 4.4485 4.5703 4.4485 90.00 90.00 90.00
Element x y z (fractional)
N 0.5000 0.5000 0.5000
Fe 0.0000 0.0000 0.5000
Fe 0.5000 0.0000 0.0000
Br 0.0000 0.5000 0.0000
V 0.0000 0.0000 0.0000

## Properties
Crystal system: tetragonal
Magnetic moment, Bohr magnetons per cell: 3.62
E, eV/cell: -25.804



Entry 9:
First-principles (GGA-PBE) data for crystalline LiNpTaO6 at its relaxed geometry, as listed in Alexandria.

Lattice parameters (Å, degrees): 5.4908 5.4908 9.4854 90.00 90.00 120.00
Element x y z (fractional)
Li 0.0000 0.0000 0.0000
Li 0.0000 0.0000 0.5000
Np 0.6667 0.3333 0.2500
Np 0.3333 0.6667 0.7500
Ta 0.3333 0.6667 0.2500
Ta 0.6667 0.3333 0.7500
O 0.6301 0.6393 0.1387
O 0.0093 0.3699 0.1387
O 0.3699 0.0093 0.6387
O 0.9907 0.6301 0.8613
O 0.3607 0.3699 0.3613
O 0.0093 0.6393 0.3613
O 0.6393 0.0093 0.8613
O 0.6301 0.9907 0.3613
O 0.9907 0.3607 0.6387
O 0.3607 0.9907 0.1387
O 0.6393 0.6301 0.6387
O 0.3699 0.3607 0.8613

## Properties
Crystal system: trigonal
Magnetic moment, Bohr magnetons per cell: 2.00
E, eV/cell: -160.007



Entry 10:
First-principles (GGA-PBE) data for crystalline SmEr3Th3 at its relaxed geometry, as listed in Alexandria.

Lattice parameters (Å, degrees): 5.8336 9.4493 9.4490 120.00 90.00 90.00
Element x y z (fractional)
Sm 0.7500 0.3332 0.6667
Sm 0.2500 0.6668 0.3333
Er 0.2500 0.5296 0.6211
Er 0.2500 0.0915 0.4704
Er 0.2500 0.3789 0.9087
Er 0.7500 0.4704 0.3789
Er 0.7500 0.9085 0.5296
Er 0.7500 0.6211 0.0913
Th 0.7500 0.7656 0.8114
Th 0.7500 0.0459 0.2346
Th 0.7500 0.1881 0.9543
Th 0.2500 0.2344 0.1886
Th 0.2500 0.9541 0.7654
Th 0.2500 0.8119 0.0457

## Properties
Crystal system: hexagonal
Magnetic moment, Bohr magnetons per cell: 0.00
DFT formation energy, eV/f.u.: 0.30



Entry 11:
First-principles (GGA-PBE) data for crystalline TbNd2TaN4 at its relaxed geometry, as listed in Alexandria.

Lattice parameters (Å, degrees): 6.8917 6.8917 6.9723 120.39 120.39 89.81
Element x y z (fractional)
Tb 0.0000 0.5000 0.0000
Tb 0.0000 0.5000 0.5000
Nd 0.5000 0.0000 0.0000
Nd 0.5000 0.0000 0.5000
Nd 0.0000 0.0000 0.5000
Nd 0.5000 0.5000 0.0000
Ta 0.5000 0.5000 0.5000
Ta 0.0000 0.0000 0.0000
N 0.2171 0.7676 0.9924
N 0.7324 0.2829 0.5077
N 0.2676 0.7171 0.4923
N 0.7829 0.2324 0.0077
N 0.7536 0.7464 0.9644
N 0.7536 0.7464 0.5356
N 0.2464 0.2536 0.4644
N 0.2464 0.2536 0.0356

## Properties
Crystal system: orthorhombic
Magnetic moment, Bohr magnetons per cell: 0.00
E, eV/cell: -140.294



Entry 12:
First-principles (GGA-PBE) data for crystalline MgFeSe2 at its relaxed geometry, as listed in Alexandria.

Lattice parameters (Å, degrees): 4.7374 4.7374 4.7374 60.00 60.00 60.00
Element x y z (fractional)
Fe 0.5000 0.5000 0.5000
Mg 0.2500 0.2500 0.2500
Se 0.0000 0.0000 0.0000
Se 0.7500 0.7500 0.7500

## Properties
Crystal system: cubic
Magnetic moment, Bohr magnetons per cell: 3.11
E, eV/cell: -15.590